(1)
Entry from the Alexandria database: Y3AuN after structural relaxation (GGA-PBE).

abc: 4.765 4.765 4.765
angles: 90.00 90.00 90.00
Positions (direct):
Y (0.000, 0.500, 0.000)
Y (0.000, 0.000, 0.500)
Y (0.500, 0.000, 0.000)
Au (0.500, 0.500, 0.500)
N (0.000, 0.000, 0.000)

Properties
The value obtained for the total energy is -35.86 eV/cell. The value obtained for the total magnetization is 0.000 μB/atom. As for the uncorrected formation energy: -4.9 eV per formula unit.

(2)
Entry from the Alexandria database: Y6Au2N after structural relaxation (GGA-PBE).

abc: 6.682 6.960 9.659
angles: 90.00 89.51 90.00
Positions (direct):
Y (0.102, 0.020, 0.258)
Y (0.198, 0.286, 0.551)
Y (0.212, 0.299, 0.948)
Y (0.288, 0.799, 0.552)
Y (0.302, 0.786, 0.949)
Y (0.398, 0.520, 0.242)
Y (0.898, 0.980, 0.742)
Y (0.802, 0.714, 0.449)
Y (0.788, 0.701, 0.052)
Y (0.712, 0.201, 0.448)
Y (0.698, 0.214, 0.051)
Y (0.602, 0.480, 0.758)
Au (0.028, 0.564, 0.750)
Au (0.472, 0.064, 0.750)
Au (0.528, 0.936, 0.250)
Au (0.972, 0.436, 0.250)
N (0.500, 0.500, 0.000)
N (0.000, 0.000, 0.500)

Properties
The value obtained for the total energy is -121.61 eV/cell. The value obtained for the total magnetization is 0.000 μB/atom. As for the uncorrected formation energy: -7.1 eV per formula unit.

(3)
Entry from the Alexandria database: Y12Au3N5 after structural relaxation (GGA-PBE).

abc: 13.372 13.372 13.372
angles: 109.47 109.47 109.47
Positions (direct):
Au (0.750, 0.375, 0.125)
Au (0.875, 0.750, 0.125)
Au (0.375, 0.750, 0.625)
Au (0.250, 0.125, 0.375)
Au (0.875, 0.125, 0.250)
Au (0.375, 0.625, 0.250)
Au (0.625, 0.375, 0.750)
Au (0.125, 0.875, 0.750)
Au (0.750, 0.875, 0.625)
Au (0.625, 0.250, 0.375)
Au (0.125, 0.250, 0.875)
Au (0.250, 0.625, 0.875)
N (0.125, 0.375, 0.250)
N (0.000, 0.500, 0.000)
N (0.000, 0.000, 0.000)
N (0.375, 0.250, 0.125)
N (0.500, 0.000, 0.500)
N (0.500, 0.500, 0.000)
N (0.125, 0.750, 0.375)
N (0.750, 0.125, 0.875)
N (0.750, 0.625, 0.375)
N (0.375, 0.125, 0.750)
N (0.625, 0.875, 0.250)
N (0.500, 0.500, 0.500)
N (0.500, 0.000, 0.000)
N (0.000, 0.000, 0.500)
N (0.250, 0.375, 0.625)
N (0.250, 0.875, 0.125)
N (0.000, 0.500, 0.500)
N (0.875, 0.250, 0.625)
N (0.625, 0.750, 0.875)
N (0.875, 0.625, 0.750)
Y (0.702, 0.115, 0.018)
Y (0.316, 0.518, 0.402)
Y (0.982, 0.385, 0.298)
Y (0.518, 0.202, 0.115)
Y (0.586, 0.702, 0.684)
Y (0.982, 0.598, 0.184)
Y (0.316, 0.798, 0.414)
Y (0.098, 0.914, 0.115)
Y (0.598, 0.982, 0.684)
Y (0.702, 0.586, 0.184)
Y (0.798, 0.482, 0.385)
Y (0.816, 0.902, 0.018)
Y (0.115, 0.702, 0.518)
Y (0.385, 0.402, 0.086)
Y (0.086, 0.902, 0.385)
Y (0.414, 0.115, 0.598)
Y (0.086, 0.184, 0.202)
Y (0.482, 0.684, 0.098)
Y (0.816, 0.914, 0.298)
Y (0.115, 0.414, 0.098)
Y (0.385, 0.982, 0.798)
Y (0.598, 0.615, 0.414)
Y (0.902, 0.816, 0.518)
Y (0.798, 0.316, 0.914)
Y (0.402, 0.385, 0.586)
Y (0.098, 0.184, 0.482)
Y (0.202, 0.684, 0.086)
Y (0.184, 0.086, 0.702)
Y (0.615, 0.018, 0.202)
Y (0.885, 0.586, 0.902)
Y (0.518, 0.316, 0.902)
Y (0.586, 0.885, 0.402)
Y (0.914, 0.816, 0.798)
Y (0.914, 0.098, 0.615)
Y (0.885, 0.298, 0.482)
Y (0.184, 0.098, 0.982)
Y (0.615, 0.598, 0.914)
Y (0.402, 0.018, 0.316)
Y (0.298, 0.414, 0.816)
Y (0.202, 0.518, 0.615)
Y (0.902, 0.086, 0.885)
Y (0.684, 0.202, 0.586)
Y (0.482, 0.798, 0.885)
Y (0.018, 0.402, 0.816)
Y (0.414, 0.298, 0.316)
Y (0.018, 0.615, 0.702)
Y (0.684, 0.482, 0.598)
Y (0.298, 0.885, 0.982)

Properties
The value obtained for the total energy is -592.74 eV/cell. The value obtained for the total magnetization is 0.000 μB/atom. As for the uncorrected formation energy: -19.2 eV per formula unit.

(4)
Entry from the Alexandria database: Y2Au2N after structural relaxation (GGA-PBE).

abc: 5.790 5.790 5.312
angles: 56.97 56.97 90.00
Positions (direct):
Y (0.750, 0.250, 0.500)
Y (0.250, 0.750, 0.500)
Au (0.312, 0.312, 0.377)
Au (0.688, 0.688, 0.623)
N (0.000, 0.000, 0.000)

Properties
The value obtained for the total energy is -26.47 eV/cell. The value obtained for the total magnetization is 0.000 μB/atom. As for the uncorrected formation energy: 1.3 eV per formula unit. The calculation puts the polymorph energy (0 for the lowest one) at 222 meV/atom.

(5)
Entry from the Alexandria database: YAuN3 after structural relaxation (GGA-PBE).

abc: 4.042 4.042 4.042
angles: 90.00 90.00 90.00
Positions (direct):
Y (0.500, 0.500, 0.500)
Au (0.000, 0.000, 0.000)
N (0.000, 0.500, 0.000)
N (0.000, 0.000, 0.500)
N (0.500, 0.000, 0.000)

Properties
The value obtained for the total energy is -29.33 eV/cell. The value obtained for the total magnetization is 0.000 μB/atom. As for the uncorrected formation energy: 5.4 eV per formula unit.

(6)
Entry from the Alexandria database: YAuN3 after structural relaxation (GGA-PBE).

abc: 4.378 4.378 4.378
angles: 90.00 90.00 90.00
Positions (direct):
Y (0.000, 0.000, 0.000)
Au (0.500, 0.500, 0.500)
N (0.000, 0.500, 0.000)
N (0.000, 0.000, 0.500)
N (0.500, 0.000, 0.000)

Properties
The value obtained for the total energy is -25.77 eV/cell. The value obtained for the total magnetization is 0.000 μB/atom. As for the uncorrected formation energy: 8.9 eV per formula unit.

(7)
Entry from the Alexandria database: YAu2N after structural relaxation (GGA-PBE).

abc: 5.103 5.103 7.617
angles: 70.43 70.43 90.00
Positions (direct):
Y (0.000, 0.000, 0.000)
Y (0.750, 0.250, 0.500)
Au (0.479, 0.125, 0.250)
Au (0.271, 0.625, 0.250)
Au (0.375, 0.521, 0.750)
Au (0.875, 0.729, 0.750)
N (0.500, 0.500, 0.000)
N (0.250, 0.750, 0.500)

Properties
The value obtained for the total energy is -39.23 eV/cell. The value obtained for the total magnetization is 0.000 μB/atom. As for the uncorrected formation energy: 1.7 eV per formula unit.

(8)
Entry from the Alexandria database: Y2AuN after structural relaxation (GGA-PBE).

abc: 6.636 6.636 6.239
angles: 57.87 57.87 90.00
Positions (direct):
Y (0.544, 0.125, 0.250)
Y (0.206, 0.625, 0.250)
Y (0.375, 0.456, 0.750)
Y (0.875, 0.794, 0.750)
Au (0.000, 0.000, 0.000)
Au (0.750, 0.250, 0.500)
N (0.500, 0.500, 0.000)
N (0.250, 0.750, 0.500)

Properties
The value obtained for the total energy is -57.35 eV/cell. The value obtained for the total magnetization is 0.000 μB/atom. As for the uncorrected formation energy: -4.1 eV per formula unit.

no.,N(E_F) (states/eV/cell)
1,8.623
2,16.836
3,65.543
4,3.515
5,3.926
6,6.095
7,6.081
8,0.397